Entry 1:
First-principles (GGA-PBE) data for a geometry-optimized CaLuPb structure, as listed in Alexandria via LeMat-Bulk.

**SG**: No. 156
**Energy of formation from the pure elements**: -0.203 eV/atom
**V**: 30.99 Å³/atom
**Total magnetization**: 0.49 μB/f.u.

a b c (Å): 3.7267 5.3673 5.3673
angles (deg): 120.00 90.00 90.00
Last column: nearest neighbours and their distance in Å.
Fractional coordinates of all 3 atoms:
Pb (0.8098, 0.6667, 0.3333)  3 Lu 3.10
Ca (0.3415, 0.3333, 0.6667)  6 Pb 3.56-3.68, 6 Lu 3.60-3.63, 2 Ca 3.73
Lu (0.8487, 0.0000, 0.0000)  3 Pb 3.10


Entry 2:
First-principles (GGA-PBE) data for a geometry-optimized PmThTeRh structure, as listed in Alexandria via LeMat-Bulk.

**Formation energy without anion corrections**: -1.06 eV/atom
**SG**: No. 160
**V**: 28.99 Å³/atom
**Total magnetization**: 0.00 μB/f.u.

a b c (Å): 4.1652 4.1653 8.0831
angles (deg): 90.00 104.93 120.00
Last column: nearest neighbours and their distance in Å.
Fractional coordinates of all 4 atoms:
Pm (0.4962, 0.1460, 0.6575)  3 Rh 2.95, 3 Te 3.29
Th (0.1028, 0.9494, 0.0674)  3 Rh 2.81
Te (0.9686, 0.3824, 0.3660)  3 Pm 3.29, 3 Th 3.33
Rh (0.3103, 0.5530, 0.8787)  3 Th 2.81, 3 Pm 2.95


Entry 3:
First-principles (GGA-PBE) data for a geometry-optimized CsYCl3 structure, as listed in Alexandria via LeMat-Bulk.

**Formation energy without anion corrections**: -1.77 eV/atom
**SG**: No. 38
**V**: 37.36 Å³/atom
**Total magnetization**: 0.00 μB/f.u.

a b c (Å): 3.8831 6.9614 6.9614
angles (deg): 83.09 90.00 90.00
Last column: nearest neighbours and their distance in Å.
Fractional coordinates of all 5 atoms:
Cs (0.0000, 0.6163, 0.3837)  5 Cl 3.35-3.55
Y (0.5000, 0.0379, 0.9621)  4 Cl 2.55-2.78
Cl (0.5000, 0.0471, 0.3273)  1 Y 2.55
Cl (0.5000, 0.6727, 0.9529)  1 Y 2.55
Cl (0.0000, 0.2539, 0.7461)  2 Y 2.78


Entry 4:
First-principles (GGA-PBE) data for a geometry-optimized CeScTl structure, as listed in Alexandria via LeMat-Bulk.

**SG**: No. 129
**Energy of formation from the pure elements**: -0.152 eV/atom
**V**: 25.84 Å³/atom
**Total magnetization**: 0.00 μB/f.u.

a b c (Å): 4.2377 4.2377 8.6331
angles (deg): 90.00 90.00 90.00
Last column: nearest neighbours and their distance in Å.
Fractional coordinates of all 6 atoms:
Sc (0.5000, 0.0000, 0.8637)  5 Tl 2.96-3.06
Sc (0.0000, 0.5000, 0.1363)  5 Tl 2.96-3.06
Tl (0.5000, 0.0000, 0.2067)  5 Sc 2.96-3.06, 4 Ce 3.30
Tl (0.0000, 0.5000, 0.7933)  5 Sc 2.96-3.06, 4 Ce 3.30
Ce (0.5000, 0.5000, 0.5000)  4 Ce 3.00, 4 Tl 3.30
Ce (0.0000, 0.0000, 0.5000)  4 Ce 3.00, 4 Tl 3.30